NaPm2CdO5: optimized geometry, PBE-GGA.

* symmetry: I4/mcm, No. 140
* formation energy from raw total energies: -2.17 eV/atom
* electronic total energy: -112.16 eV/cell
* total magnetization: 0.1110 μB/atom

```
NaPm2CdO5
1.0
6.760 0.000 0.000
0.000 6.760 0.000
-3.380 -3.380 6.182
Na Pm Cd O
2 4 2 10
Direct
0.250 0.250 0.500
0.750 0.750 0.500
0.170 0.330 0.000
0.670 0.170 0.000
0.330 0.830 0.000
0.830 0.670 0.000
0.250 0.750 0.500
0.750 0.250 0.500
0.970 0.470 0.234
0.736 0.236 0.766
0.030 0.530 0.766
0.236 0.030 0.766
0.530 0.736 0.766
0.764 0.970 0.234
0.470 0.264 0.234
0.264 0.764 0.234
0.500 0.500 0.000
0.000 0.000 0.000
```